# 1
VASP calculation (PBE) on crystalline Dy2TmMg3Pt2Au at its relaxed geometry.

a = 4.035 Å, b = 7.433 Å, c = 7.433 Å
α = 119.82°, β = 90.00°, γ = 90.00°
Sites, in units of the cell vectors:
Au: 0.000 0.002 0.002
Dy: 0.000 0.584 0.000
Dy: 0.000 0.000 0.584
Mg: 0.500 0.252 0.001
Mg: 0.500 0.001 0.252
Mg: 0.500 0.748 0.748
Pt: 0.500 0.664 0.334
Pt: 0.500 0.334 0.664
Tm: 0.000 0.415 0.415

Symmetry ... Amm2

***

# 2
VASP calculation (PBE) on crystalline DyMgAuSeS2 at its relaxed geometry.

a = 7.017 Å, b = 7.017 Å, c = 10.645 Å
α = 90.00°, β = 90.00°, γ = 147.00°
Sites, in units of the cell vectors:
Au: 0.361 0.639 0.250
Au: 0.639 0.361 0.750
Dy: 0.000 0.000 0.000
Dy: 0.000 0.000 0.500
Mg: 0.706 0.293 0.250
Mg: 0.293 0.706 0.750
S: 0.362 0.638 0.031
S: 0.362 0.638 0.469
S: 0.638 0.362 0.531
S: 0.638 0.362 0.969
Se: 0.084 0.916 0.250
Se: 0.916 0.084 0.750

Symmetry ... Cmcm

***

# 3
VASP calculation (PBE) on crystalline DyMgAuSe2S at its relaxed geometry.

a = 6.819 Å, b = 6.819 Å, c = 10.490 Å
α = 90.00°, β = 90.00°, γ = 147.13°
Sites, in units of the cell vectors:
Au: 0.480 0.520 0.250
Au: 0.520 0.480 0.750
Dy: 0.000 0.000 0.000
Dy: 0.000 0.000 0.500
Mg: 0.756 0.244 0.250
Mg: 0.244 0.756 0.750
S: 0.112 0.888 0.250
S: 0.888 0.112 0.750
Se: 0.346 0.654 0.069
Se: 0.346 0.654 0.431
Se: 0.654 0.346 0.569
Se: 0.654 0.346 0.931

Symmetry ... Cmcm

***

# 4
VASP calculation (PBE) on crystalline DyMgTeAuS2 at its relaxed geometry.

a = 7.089 Å, b = 7.089 Å, c = 10.858 Å
α = 90.00°, β = 90.00°, γ = 148.79°
Sites, in units of the cell vectors:
Au: 0.517 0.483 0.250
Au: 0.483 0.517 0.750
Dy: 0.000 0.000 0.000
Dy: 0.000 0.000 0.500
Mg: 0.189 0.811 0.250
Mg: 0.811 0.189 0.750
S: 0.635 0.365 0.074
S: 0.635 0.365 0.426
S: 0.365 0.635 0.574
S: 0.365 0.635 0.926
Te: 0.867 0.133 0.250
Te: 0.133 0.867 0.750

Symmetry ... Cmcm

***

Calculated total moment, 0.014 0.008 0.006 0.001 μB per formula unit (same order as the records).
Calculated energy, -4.618 -4.671 -4.470 -4.488 eV/atom (same order as the records).